Mg4CrTc | PBE | optimized geometry

Unit cell a=5.4317 b=5.4317 c=5.4317 alpha=60.00 beta=60.00 gamma=60.00
With the nearest neighbours (Å) after each atom.
Fractional coordinates of all 6 atoms:
Mg: 0.8730 0.3756 0.3756  6 Mg 2.70-2.73
Mg: 0.3756 0.3756 0.8730  6 Mg 2.70-2.73
Mg: 0.3756 0.8730 0.3756  6 Mg 2.70-2.73
Mg: 0.3756 0.3756 0.3756  6 Mg 2.70-2.73
Cr: 0.0000 0.0000 0.0000  12 Mg 3.19, 4 Tc 3.33
Tc: 0.7500 0.7500 0.7500  12 Mg 3.18, 4 Cr 3.33

Calculated values
E_tot: -0.277 Ry per atom
Fermi-level density of states: 8.3 states/eV/cell
Formation energy: 0.6242 eV/atom
Symmetry: F-43m, No. 216